# NbGaMoC

Crystalline NbGaMoC at its relaxed geometry (PBE-GGA, OQMD).

- Energy relative to the lowest polymorph listed for this composition: 0 meV/atom
- Spin magnetization: 0.0 μB per formula unit

POSCAR file:
```
NbGaMoC
1.0
3.126 0.000 0.000
-1.563 2.707 0.000
0.000 0.000 13.309
Nb Ga Mo C
2 2 2 2
Direct
0.333 0.667 0.000
0.667 0.333 0.500
0.333 0.667 0.665
0.667 0.333 0.165
0.333 0.667 0.322
0.667 0.333 0.822
0.000 0.000 0.406
0.000 0.000 0.906
```